No. 1
VASP calculation (PBE) on a relaxed Pm2Si2Ge crystal.

Results
The energy above the most stable polymorph in this dataset comes out at 0 meV/atom. As for the space group: No. 65. As for the electronic total energy: -5.670 eV/atom. Its crystal system is orthorhombic. The calculation puts the density of states at the Fermi level at 0.498 states/eV/atom.

a b c (Å): 4.129 3.904 7.151
angles (deg): 105.84 90.00 90.00
Sites, in units of the cell vectors:
Si (0.000, 0.199, 0.398)
Si (0.000, 0.801, 0.602)
Pm (0.500, 0.372, 0.745)
Pm (0.500, 0.628, 0.255)
Ge (0.000, 0.000, 0.000)

***

No. 2
VASP calculation (PBE) on a relaxed TlCd2Au crystal.

Results
The energy above the most stable polymorph in this dataset comes out at 117 meV/atom. As for the space group: No. 122. As for the electronic total energy: -1.844 eV/atom. The energy of formation is 0.57 kcal/mol of atoms. Its crystal system is tetragonal. The calculation puts the density of states at the Fermi level at 0.375 states/eV/atom.

a b c (Å): 8.371 8.371 6.614
angles (deg): 50.74 50.74 90.00
Sites, in units of the cell vectors:
Tl (0.000, 0.000, 0.000)
Tl (0.750, 0.250, 0.500)
Au (0.500, 0.500, 0.000)
Au (0.250, 0.750, 0.500)
Cd (0.375, 0.415, 0.750)
Cd (0.165, 0.625, 0.250)
Cd (0.875, 0.835, 0.750)
Cd (0.585, 0.125, 0.250)

***

No. 3
VASP calculation (PBE) on a relaxed TbCd2In2 crystal.

Results
As for the space group: No. 194. As for the electronic total energy: -2.412 eV/atom. The energy of formation is -0.56 kcal/mol of atoms. Its crystal system is hexagonal. The calculation puts the density of states at the Fermi level at 0.697 states/eV/atom.

a b c (Å): 5.108 5.108 12.392
angles (deg): 90.00 90.00 120.00
Sites, in units of the cell vectors:
In (0.333, 0.667, 0.250)
In (0.000, 0.000, 0.000)
In (0.000, 0.000, 0.500)
In (0.667, 0.333, 0.750)
Cd (0.333, 0.667, 0.884)
Cd (0.667, 0.333, 0.116)
Cd (0.667, 0.333, 0.384)
Cd (0.333, 0.667, 0.616)
Tb (0.000, 0.000, 0.250)
Tb (0.000, 0.000, 0.750)

***

No. 4
VASP calculation (PBE) on a relaxed SbS2IBr crystal.

Results
As for the space group: No. 123. As for the electronic total energy: -2.281 eV/atom. Its crystal system is tetragonal. The calculation puts the density of states at the Fermi level at 0.877 states/eV/atom.

a b c (Å): 4.988 6.310 4.988
angles (deg): 90.00 90.00 90.00
Sites, in units of the cell vectors:
S (0.000, 0.000, 0.500)
S (0.500, 0.000, 0.000)
I (0.000, 0.000, 0.000)
Br (0.500, 0.500, 0.500)
Sb (0.000, 0.500, 0.000)

***

No. 5
VASP calculation (PBE) on a relaxed TlIn5 crystal.

Results
The energy above the most stable polymorph in this dataset comes out at 14 meV/atom. As for the space group: No. 189. As for the electronic total energy: -2.647 eV/atom. The energy of formation is 0.67 kcal/mol of atoms. Its crystal system is hexagonal. The calculation puts the density of states at the Fermi level at 0.557 states/eV/atom.

a b c (Å): 5.896 5.896 5.598
angles (deg): 90.00 90.00 120.00
Sites, in units of the cell vectors:
In (0.672, 0.339, 0.000)
In (0.333, 0.661, 0.000)
In (0.000, 0.333, 0.500)
In (0.995, 0.000, 0.000)
In (0.667, 0.667, 0.500)
Tl (0.333, 0.000, 0.500)

***

No. 6
VASP calculation (PBE) on a relaxed TaTlHg crystal.

Results
The energy above the most stable polymorph in this dataset comes out at 37 meV/atom. As for the space group: No. 107. As for the electronic total energy: -4.287 eV/atom. The energy of formation is 12.75 kcal/mol of atoms. Its crystal system is tetragonal. The calculation puts the density of states at the Fermi level at 0.556 states/eV/atom.

a b c (Å): 7.612 7.612 7.612
angles (deg): 157.18 157.18 32.50
Sites, in units of the cell vectors:
Hg (0.985, 0.985, 0.000)
Tl (0.676, 0.676, 0.000)
Ta (0.338, 0.338, 0.000)

***

No. 7
VASP calculation (PBE) on a relaxed SmCd12Pt6 crystal.

Results
As for the space group: No. 166. As for the electronic total energy: -2.936 eV/atom. The energy of formation is -4.65 kcal/mol of atoms. Its crystal system is trigonal. The calculation puts the density of states at the Fermi level at 0.488 states/eV/atom.

a b c (Å): 7.816 7.816 7.816
angles (deg): 105.87 105.87 105.87
Sites, in units of the cell vectors:
Cd (0.861, 0.611, 0.611)
Cd (0.115, 0.885, 0.500)
Cd (0.389, 0.389, 0.139)
Cd (0.500, 0.115, 0.885)
Cd (0.500, 0.885, 0.115)
Cd (0.611, 0.861, 0.611)
Cd (0.885, 0.500, 0.115)
Cd (0.389, 0.139, 0.389)
Cd (0.115, 0.500, 0.885)
Cd (0.885, 0.115, 0.500)
Cd (0.139, 0.389, 0.389)
Cd (0.611, 0.611, 0.861)
Pt (0.296, 0.718, 0.718)
Pt (0.282, 0.704, 0.282)
Pt (0.718, 0.296, 0.718)
Pt (0.704, 0.282, 0.282)
Pt (0.718, 0.718, 0.296)
Pt (0.282, 0.282, 0.704)
Sm (0.000, 0.000, 0.000)

***

No. 8
VASP calculation (PBE) on a relaxed CoSb2As crystal.

Results
As for the space group: No. 10. As for the electronic total energy: -4.771 eV/atom. Its crystal system is monoclinic. The calculation puts the density of states at the Fermi level at 0.811 states/eV/atom.

a b c (Å): 3.117 3.072 10.312
angles (deg): 58.23 90.00 90.00
Sites, in units of the cell vectors:
Sb (0.000, 0.596, 0.562)
Sb (0.000, 0.904, 0.938)
Co (0.500, 0.750, 0.750)
As (0.500, 0.250, 0.250)

***

No. 9
VASP calculation (PBE) on a relaxed Mn2ReNi crystal.

Results
As for the space group: No. 123. As for the electronic total energy: -9.123 eV/atom. The energy of formation is 0.43 kcal/mol of atoms. Its crystal system is tetragonal. The calculation puts the density of states at the Fermi level at 0.810 states/eV/atom.

a b c (Å): 3.672 3.672 3.540
angles (deg): 90.00 90.00 90.00
Sites, in units of the cell vectors:
Mn (0.000, 0.000, 0.000)
Mn (0.500, 0.500, 0.000)
Re (0.000, 0.500, 0.500)
Ni (0.500, 0.000, 0.500)

***

No. 10
VASP calculation (PBE) on a relaxed Cu2OsW crystal.

Results
The energy above the most stable polymorph in this dataset comes out at 63 meV/atom. As for the space group: No. 99. As for the electronic total energy: -7.810 eV/atom. The energy of formation is 6.55 kcal/mol of atoms. Its crystal system is tetragonal. The calculation puts the density of states at the Fermi level at 0.847 states/eV/atom.

a b c (Å): 3.092 3.092 5.793
angles (deg): 90.00 90.00 90.00
Sites, in units of the cell vectors:
W (0.500, 0.500, 0.746)
Os (0.000, 0.000, 0.502)
Cu (0.000, 0.000, 0.027)
Cu (0.500, 0.500, 0.225)

***

No. 11
VASP calculation (PBE) on a relaxed CsTh2TaO8 crystal.

Results
As for the space group: No. 12. As for the electronic total energy: -8.394 eV/atom. Its crystal system is monoclinic. The calculation puts the density of states at the Fermi level at 0.000 states/eV/atom.

a b c (Å): 4.894 4.894 8.355
angles (deg): 86.46 86.46 90.73
Sites, in units of the cell vectors:
Th (0.539, 0.539, 0.212)
Th (0.461, 0.461, 0.788)
O (0.608, 0.608, 0.501)
O (0.288, 0.288, 0.029)
O (0.859, 0.247, 0.822)
O (0.712, 0.712, 0.971)
O (0.246, 0.859, 0.822)
O (0.141, 0.753, 0.178)
O (0.754, 0.141, 0.178)
O (0.392, 0.392, 0.499)
Cs (0.000, 0.000, 0.500)
Ta (0.000, 0.000, 0.000)

***

No. 12
VASP calculation (PBE) on a relaxed CsBaH8Pt2 crystal.

Results
As for the space group: No. 166. As for the electronic total energy: -3.587 eV/atom. Its crystal system is trigonal. The calculation puts the density of states at the Fermi level at 0.324 states/eV/atom.

a b c (Å): 5.586 5.586 8.003
angles (deg): 69.57 69.57 60.00
Sites, in units of the cell vectors:
H (0.464, 0.935, 0.137)
H (0.218, 0.218, 0.345)
H (0.065, 0.536, 0.863)
H (0.536, 0.536, 0.863)
H (0.782, 0.782, 0.655)
H (0.935, 0.464, 0.137)
H (0.536, 0.065, 0.863)
H (0.464, 0.464, 0.137)
Pt (0.710, 0.710, 0.870)
Pt (0.290, 0.290, 0.130)
Ba (0.000, 0.000, 0.000)
Cs (0.500, 0.500, 0.500)